# PBE RbNaI, relaxed
data_RbNaI
_symmetry_space_group_name_H-M 'I m m 2'
_symmetry_Int_Tables_number 44
_cell_length_a 4.7558
_cell_length_b 4.7661
_cell_length_c 25.6723
_cell_angle_alpha 90.00
_cell_angle_beta 90.00
_cell_angle_gamma 90.00
loop_
_symmetry_equiv_pos_as_xyz
'x,y,z'
'-x,-y,z'
'-x,y,z'
'x,-y,z'
'x+1/2,y+1/2,z+1/2'
'-x+1/2,-y+1/2,z+1/2'
'-x+1/2,y+1/2,z+1/2'
'x+1/2,-y+1/2,z+1/2'
loop_
_atom_site_label
_atom_site_type_symbol
_atom_site_fract_x
_atom_site_fract_y
_atom_site_fract_z
Rb1 Rb 0.0000 0.0000 0.0000
Rb2 Rb 0.0000 0.5000 0.3243
Na1 Na 0.0000 0.0000 0.1698
Na2 Na 0.0000 0.0000 0.6129
I1 I 0.0000 0.0000 0.4379
I2 I 0.0000 0.5000 0.7626
# Formation energy (no corrections)   -0.89 eV per atom
# D(E_F)   0.67 states/eV/f.u.
# Crystal system   orthorhombic


# PBE KRuSe4, relaxed
data_KRuSe4
_symmetry_space_group_name_H-M 'F -4 3 m'
_symmetry_Int_Tables_number 216
_symmetry_space_group_name_Hall 'F -4 2 3'
_cell_length_a 8.2362
_cell_length_b 8.2362
_cell_length_c 8.2362
_cell_angle_alpha 90.00
_cell_angle_beta 90.00
_cell_angle_gamma 90.00
loop_
_atom_site_label
_atom_site_type_symbol
_atom_site_fract_x
_atom_site_fract_y
_atom_site_fract_z
K1 K 0.0000 0.0000 0.0000
Ru1 Ru 0.2500 0.2500 0.7500
Se1 Se 0.1241 0.1241 0.3759
# Formation energy (no corrections)   0.62 eV per atom
# D(E_F)   5.51 states/eV/f.u.
# Crystal system   cubic


# PBE ReCN, relaxed
data_ReCN
_symmetry_space_group_name_H-M 'C 1 2/m 1'
_symmetry_Int_Tables_number 12
_cell_length_a 7.0951
_cell_length_b 2.7097
_cell_length_c 6.1559
_cell_angle_alpha 90.00
_cell_angle_beta 111.63
_cell_angle_gamma 90.00
loop_
_symmetry_equiv_pos_as_xyz
'x,y,z'
'-x,-y,-z'
'-x,y,-z'
'x,-y,z'
'x+1/2,y+1/2,z'
'-x+1/2,-y+1/2,-z'
'-x+1/2,y+1/2,-z'
'x+1/2,-y+1/2,z'
loop_
_atom_site_label
_atom_site_type_symbol
_atom_site_fract_x
_atom_site_fract_y
_atom_site_fract_z
Re1 Re 0.1255 0.0000 0.2359
C1 C 0.1977 0.0000 0.9274
N1 N 0.0876 0.5000 0.4729
# Formation energy (no corrections)   0.53 eV per atom
# D(E_F)   0.71 states/eV/f.u.
# Crystal system   monoclinic


# PBE Ba3LaF, relaxed
data_Ba3LaF
_symmetry_space_group_name_H-M 'P m -3 m'
_symmetry_Int_Tables_number 221
_symmetry_space_group_name_Hall '-P 4 2 3'
_cell_length_a 5.8378
_cell_length_b 5.8378
_cell_length_c 5.8378
_cell_angle_alpha 90.00
_cell_angle_beta 90.00
_cell_angle_gamma 90.00
loop_
_atom_site_label
_atom_site_type_symbol
_atom_site_fract_x
_atom_site_fract_y
_atom_site_fract_z
Ba1 Ba 0.0000 0.0000 0.5000
La1 La 0.5000 0.5000 0.5000
F1 F 0.0000 0.0000 0.0000
# Formation energy (no corrections)   -0.94 eV per atom
# D(E_F)   7.09 states/eV/f.u.
# Crystal system   cubic


# PBE La3PrCo, relaxed
data_La3PrCo
_symmetry_space_group_name_H-M 'P m -3 m'
_symmetry_Int_Tables_number 221
_symmetry_space_group_name_Hall '-P 4 2 3'
_cell_length_a 5.5120
_cell_length_b 5.5120
_cell_length_c 5.5120
_cell_angle_alpha 90.00
_cell_angle_beta 90.00
_cell_angle_gamma 90.00
loop_
_atom_site_label
_atom_site_type_symbol
_atom_site_fract_x
_atom_site_fract_y
_atom_site_fract_z
La1 La 0.0000 0.0000 0.5000
Pr1 Pr 0.5000 0.5000 0.5000
Co1 Co 0.0000 0.0000 0.0000
# D(E_F)   10.41 states/eV/f.u.
# Energy of formation   0.0177 eV/atom
# Crystal system   cubic


# PBE NaLi2PaSe4, relaxed
data_NaLi2PaSe4
_symmetry_space_group_name_H-M 'P 1 2/m 1'
_symmetry_Int_Tables_number 10
_cell_length_a 6.7400
_cell_length_b 4.1747
_cell_length_c 7.0387
_cell_angle_alpha 90.00
_cell_angle_beta 108.27
_cell_angle_gamma 90.00
loop_
_symmetry_equiv_pos_as_xyz
'x,y,z'
'-x,-y,-z'
'-x,y,-z'
'x,-y,z'
loop_
_atom_site_label
_atom_site_type_symbol
_atom_site_fract_x
_atom_site_fract_y
_atom_site_fract_z
Na1 Na 0.0000 0.0000 0.0000
Li1 Li 0.5000 0.0000 0.5000
Li2 Li 0.5000 0.5000 0.0000
Pa1 Pa 0.0000 0.5000 0.5000
Se1 Se 0.2503 0.0000 0.7329
Se2 Se 0.2530 0.5000 0.2696
# Formation energy (no corrections)   -1.28 eV per atom
# Crystal system   monoclinic


# PBE AlGa2BiO6, relaxed
data_AlGa2BiO6
_symmetry_space_group_name_H-M 'C 1 2/c 1'
_symmetry_Int_Tables_number 15
_cell_length_a 11.3711
_cell_length_b 8.9964
_cell_length_c 6.3163
_cell_angle_alpha 90.00
_cell_angle_beta 119.26
_cell_angle_gamma 90.00
loop_
_symmetry_equiv_pos_as_xyz
'x,y,z'
'-x,-y,-z'
'-x,y,-z+1/2'
'x,-y,z+1/2'
'x+1/2,y+1/2,z'
'-x+1/2,-y+1/2,-z'
'-x+1/2,y+1/2,-z+1/2'
'x+1/2,-y+1/2,z+1/2'
loop_
_atom_site_label
_atom_site_type_symbol
_atom_site_fract_x
_atom_site_fract_y
_atom_site_fract_z
Al1 Al 0.0000 0.1740 0.2500
Ga1 Ga 0.2061 0.4381 0.6708
Bi1 Bi 0.0000 0.2238 0.7500
O1 O 0.0993 0.2760 0.5157
O2 O 0.1105 0.0826 0.1697
O3 O 0.1570 0.4201 0.9224
# Formation energy (no corrections)   -1.93 eV per atom
# D(E_F)   0.00 states/eV/f.u.
# Crystal system   monoclinic


# PBE Tb2SmHo6Er3, relaxed
data_Tb2SmHo6Er3
_symmetry_space_group_name_H-M 'C 1 2/m 1'
_symmetry_Int_Tables_number 12
_cell_length_a 6.1220
_cell_length_b 10.5910
_cell_length_c 11.7038
_cell_angle_alpha 90.00
_cell_angle_beta 99.99
_cell_angle_gamma 90.00
loop_
_symmetry_equiv_pos_as_xyz
'x,y,z'
'-x,-y,-z'
'-x,y,-z'
'x,-y,z'
'x+1/2,y+1/2,z'
'-x+1/2,-y+1/2,-z'
'-x+1/2,y+1/2,-z'
'x+1/2,-y+1/2,z'
loop_
_atom_site_label
_atom_site_type_symbol
_atom_site_fract_x
_atom_site_fract_y
_atom_site_fract_z
Tb1 Tb 0.0000 0.1667 0.0000
Sm1 Sm 0.0000 0.5000 0.0000
Ho1 Ho 0.2483 0.1668 0.7479
Ho2 Ho 0.2488 0.5000 0.7479
Er1 Er 0.0000 0.0000 0.5000
Er2 Er 0.0000 0.3332 0.5000
# D(E_F)   15.99 states/eV/f.u.
# Energy of formation   0.0187 eV/atom
# Crystal system   monoclinic


# PBE Al3PbF, relaxed
data_Al3PbF
_symmetry_space_group_name_H-M 'P m -3 m'
_symmetry_Int_Tables_number 221
_symmetry_space_group_name_Hall '-P 4 2 3'
_cell_length_a 5.6330
_cell_length_b 5.6330
_cell_length_c 5.6330
_cell_angle_alpha 90.00
_cell_angle_beta 90.00
_cell_angle_gamma 90.00
loop_
_atom_site_label
_atom_site_type_symbol
_atom_site_fract_x
_atom_site_fract_y
_atom_site_fract_z
Al1 Al 0.0000 0.0000 0.5000
Pb1 Pb 0.0000 0.0000 0.0000
F1 F 0.5000 0.5000 0.5000
# Formation energy (no corrections)   0.62 eV per atom
# D(E_F)   2.26 states/eV/f.u.
# Crystal system   cubic


# PBE AlTlPt3, relaxed
data_AlTlPt3
_symmetry_space_group_name_H-M 'P m -3 m'
_symmetry_Int_Tables_number 221
_symmetry_space_group_name_Hall '-P 4 2 3'
_cell_length_a 4.6577
_cell_length_b 4.6577
_cell_length_c 4.6577
_cell_angle_alpha 90.00
_cell_angle_beta 90.00
_cell_angle_gamma 90.00
loop_
_atom_site_label
_atom_site_type_symbol
_atom_site_fract_x
_atom_site_fract_y
_atom_site_fract_z
Al1 Al 0.0000 0.0000 0.0000
Tl1 Tl 0.5000 0.5000 0.5000
Pt1 Pt 0.0000 0.0000 0.5000
# D(E_F)   5.18 states/eV/f.u.
# Energy of formation   0.2301 eV/atom
# Crystal system   cubic


# PBE Pr3NdSm2Y6, relaxed
data_Pr3NdSm2Y6
_symmetry_space_group_name_H-M 'C 1 2/m 1'
_symmetry_Int_Tables_number 12
_cell_length_a 6.2974
_cell_length_b 10.9048
_cell_length_c 11.9034
_cell_angle_alpha 90.00
_cell_angle_beta 100.12
_cell_angle_gamma 90.00
loop_
_symmetry_equiv_pos_as_xyz
'x,y,z'
'-x,-y,-z'
'-x,y,-z'
'x,-y,z'
'x+1/2,y+1/2,z'
'-x+1/2,-y+1/2,-z'
'-x+1/2,y+1/2,-z'
'x+1/2,-y+1/2,z'
loop_
_atom_site_label
_atom_site_type_symbol
_atom_site_fract_x
_atom_site_fract_y
_atom_site_fract_z
Pr1 Pr 0.0000 0.0000 0.0000
Pr2 Pr 0.0000 0.3332 0.0000
Nd1 Nd 0.0000 0.5000 0.5000
Sm1 Sm 0.0000 0.1666 0.5000
Y1 Y 0.2491 0.0000 0.7485
Y2 Y 0.2494 0.3333 0.7484
# D(E_F)   14.38 states/eV/f.u.
# Energy of formation   0.0095 eV/atom
# Crystal system   monoclinic


# PBE CrCd2IrOs, relaxed
data_CrCd2IrOs
_symmetry_space_group_name_H-M 'P 4/m m m'
_symmetry_Int_Tables_number 123
_symmetry_space_group_name_Hall '-P 4 2'
_cell_length_a 5.0686
_cell_length_b 5.0686
_cell_length_c 4.5235
_cell_angle_alpha 90.00
_cell_angle_beta 90.00
_cell_angle_gamma 90.00
loop_
_atom_site_label
_atom_site_type_symbol
_atom_site_fract_x
_atom_site_fract_y
_atom_site_fract_z
Cr1 Cr 0.0000 0.0000 0.0000
Cd1 Cd 0.0000 0.5000 0.5000
Ir1 Ir 0.0000 0.0000 0.5000
Os1 Os 0.5000 0.5000 0.0000
# D(E_F)   6.93 states/eV/f.u.
# Energy of formation   1.6328 eV/atom
# Crystal system   tetragonal


Calculated density, respectively: 2.7; 5.4; 12.8; 4.8; 6.1; 5.2; 5.6; 8.7; 2.9; 13.4; 5.8; 9.4 g cm⁻³.
Magnetic moment, respectively: 0.000; 12.078; 0.000; 0.000; 0.001; 0.000; 0.000; 0.000; 0.000; 0.000; 0.000; 5.242 μB per cell.